1.
Sm5CdHg2 PBE optimized geometry; magnetization = 0.00 Bohr magnetons per cell; distance to the lowest polymorph of the same formula = 103 meV per atom; calculated total energy = -0.244 Ry/atom; calculated density = 9.09 Mg/m³
1.0
2.353 -5.622 0.000
2.353 5.622 0.000
0.000 0.000 17.468
Sm Cd Hg
10 2 4
Cartesian
2.353 5.260 13.101
2.353 3.847 9.475
2.353 3.847 16.726
2.353 0.507 10.466
2.353 0.507 15.736
2.353 -0.507 1.732
2.353 -0.507 7.002
2.353 -3.847 0.741
2.353 -3.847 7.993
2.353 -5.260 4.367
2.353 2.079 13.101
2.353 -2.079 4.367
2.353 2.666 2.662
2.353 2.666 6.072
2.353 -2.666 11.396
2.353 -2.666 14.806

2.
Na3PaPd2S6 PBE optimized geometry; magnetization = 0.00 Bohr magnetons per cell; formation energy (no corrections) = -11.50 eV per formula unit; calculated total energy = -0.368 Ry/atom; calculated density = 4.83 Mg/m³
1.0
3.202 -5.553 0.000
3.202 5.553 0.000
-2.132 0.000 6.820
Na Pa Pd S
3 1 2 6
Cartesian
0.000 0.000 0.000
3.202 1.846 0.000
3.202 -1.846 0.000
2.136 0.000 3.410
2.136 3.707 3.410
2.136 -3.707 3.410
1.027 1.912 1.935
-0.069 0.000 4.890
1.027 -1.912 1.935
3.245 1.912 4.885
4.341 0.000 1.930
3.245 -1.912 4.885

3.
IrOsPdF2 PBE optimized geometry; magnetization = 1.51 Bohr magnetons per cell; formation energy (no corrections) = 2.13 eV per formula unit; calculated total energy = -0.395 Ry/atom; calculated density = 10.96 Mg/m³
1.0
3.966 0.000 0.000
0.000 3.966 0.000
0.000 0.000 5.076
Ir Os Pd F
1 1 1 2
Cartesian
0.000 0.000 0.000
0.000 0.000 2.538
1.983 1.983 2.538
0.000 1.983 0.000
1.983 0.000 0.000

4.
Ba5Ru3 PBE optimized geometry; magnetization = 0.00 Bohr magnetons per cell; distance to the lowest polymorph of the same formula = 0 meV per atom; calculated total energy = -0.301 Ry/atom; calculated density = 6.30 Mg/m³
1.0
9.523 0.000 0.000
-4.762 8.247 0.000
0.000 0.000 6.648
Ba Ru
10 6
Cartesian
-1.269 2.198 1.662
-3.493 6.050 4.986
2.538 0.000 1.662
1.269 2.198 4.986
0.000 5.498 0.000
0.000 5.498 3.324
4.762 2.749 0.000
4.762 2.749 3.324
6.985 0.000 4.986
3.493 6.050 1.662
-2.084 3.609 4.986
-2.678 4.638 1.662
4.167 0.000 4.986
2.084 3.609 1.662
5.356 0.000 1.662
2.678 4.638 4.986

5.
MgSi2Rh PBE optimized geometry; magnetization = 0.00 Bohr magnetons per cell; formation energy (no corrections) = -1.37 eV per formula unit; calculated total energy = -0.389 Ry/atom; calculated density = 4.90 Mg/m³
1.0
3.049 0.000 0.000
0.000 4.199 0.000
0.000 0.000 4.849
Mg Si Rh
1 2 1
Cartesian
0.000 0.000 0.000
1.525 2.100 1.182
1.525 2.100 3.666
1.525 0.000 2.424

6.
AgH2F8 PBE optimized geometry; magnetization = 3.09 Bohr magnetons per cell; calculated total energy = -0.221 Ry/atom; calculated density = 2.75 Mg/m³
1.0
3.121 -3.460 0.000
3.121 3.460 0.000
-0.726 0.000 7.323
Ag H F
1 2 8
Cartesian
0.000 0.000 0.000
1.848 0.000 4.938
3.668 0.000 2.385
1.737 2.153 6.014
3.779 2.153 1.309
1.795 0.000 3.798
1.812 0.000 6.112
3.704 0.000 1.211
3.721 0.000 3.525
1.737 -2.153 6.014
3.779 -2.153 1.309